DFT (PBE) results for a relaxed structure of Ti5AlSn3.

The structure in extended XYZ format:
```
18
Lattice="8.2519 0.0000 0.0000 -4.1260 7.1464 0.0000 0.0000 0.0000 5.5831" Properties=species:S:1:pos:R:3 pbc="T T T"
Ti -1.1209 1.9415 1.3958
Ti -3.0050 5.2049 4.1873
Ti 2.2418 0.0000 1.3958
Ti 1.1209 1.9415 4.1873
Ti 0.0000 4.7643 0.0000
Ti 0.0000 4.7643 2.7915
Ti 4.1260 2.3821 0.0000
Ti 4.1260 2.3821 2.7915
Ti 6.0101 0.0000 4.1873
Ti 3.0050 5.2049 1.3958
Al 0.0000 0.0000 0.0000
Al 0.0000 0.0000 2.7915
Sn -1.5882 2.7509 4.1873
Sn -2.5377 4.3955 1.3958
Sn 3.1765 0.0000 4.1873
Sn 1.5882 2.7509 1.3958
Sn 5.0754 0.0000 1.3958
Sn 2.5377 4.3955 4.1873
```

Output
The density is 6.279 g cm⁻³. Its total magnetization is 0.00 μB/cell. The value obtained for the energy of formation is -400 meV per atom. The value obtained for the density of states at the Fermi level is 9.19 states/eV/f.u. The value obtained for the total DFT energy (no corrections) is -6.54 eV per atom. As for the calculated volume: 18.3 Å³/atom.

DFT (PBE) results for a relaxed structure of TiAlSn.

The structure in extended XYZ format:
```
6
Lattice="3.6598 0.0000 0.0000 0.0000 3.6598 0.0000 0.0000 0.0000 8.5756" Properties=species:S:1:pos:R:3 pbc="T T T"
Ti 0.9149 0.9149 0.7281
Ti 2.7448 2.7448 7.8475
Al 0.9149 0.9149 3.5959
Al 2.7448 2.7448 4.9797
Sn 0.9149 0.9149 6.4842
Sn 2.7448 2.7448 2.0914
```

Output
The density is 5.596 g cm⁻³. Its total magnetization is 0.00 μB/cell. The value obtained for the energy of formation is -93 meV per atom. The value obtained for the density of states at the Fermi level is 2.39 states/eV/f.u. The value obtained for the total DFT energy (no corrections) is -5.31 eV per atom. As for the calculated volume: 19.1 Å³/atom.

DFT (PBE) results for a relaxed structure of TiAlSn.

The structure in extended XYZ format:
```
3
Lattice="4.7955 0.0000 0.0000 -2.3978 4.1530 0.0000 0.0000 0.0000 2.8428" Properties=species:S:1:pos:R:3 pbc="T T T"
Ti 0.0000 0.0000 0.0000
Al 0.0000 2.7687 1.4247
Sn 2.3978 1.3843 1.4180
```

Output
The density is 5.677 g cm⁻³. Its total magnetization is 0.00 μB/cell. The value obtained for the energy of formation is -34 meV per atom. The value obtained for the density of states at the Fermi level is 3.84 states/eV/f.u. The value obtained for the total DFT energy (no corrections) is -5.25 eV per atom. As for the calculated volume: 18.9 Å³/atom.

DFT (PBE) results for a relaxed structure of Ti4AlSn.

The structure in extended XYZ format:
```
12
Lattice="7.2707 -2.6382 0.0000 7.2707 2.6382 0.0000 -0.6601 0.0000 5.8903" Properties=species:S:1:pos:R:3 pbc="T T T"
Ti 5.7924 2.1205 3.4681
Ti 7.7589 2.1205 5.3673
Ti 4.3153 0.8512 5.4005
Ti 4.6454 -0.8512 2.4554
Ti 9.2360 0.8512 3.4349
Ti 9.5660 -0.8512 0.4898
Ti 6.1225 -2.1205 0.5230
Ti 8.0889 -2.1205 2.4222
Al 3.3053 1.3191 2.9452
Al 3.6354 -1.3191 0.0000
Sn 7.1057 0.5203 1.4726
Sn 6.7757 -0.5203 4.4177
```

Output
The density is 4.955 g cm⁻³. Its total magnetization is 0.85 μB/cell. The value obtained for the energy of formation is 65 meV per atom. As for the polymorph energy (0 for the lowest one): 352 meV per atom. The value obtained for the density of states at the Fermi level is 7.22 states/eV/f.u. The value obtained for the total DFT energy (no corrections) is -6.49 eV per atom. As for the calculated volume: 18.8 Å³/atom.

Please write out number 4 again, unchanged.
DFT (PBE) results for a relaxed structure of Ti4AlSn.

The structure in extended XYZ format:
```
12
Lattice="7.2707 -2.6382 0.0000 7.2707 2.6382 0.0000 -0.6601 0.0000 5.8903" Properties=species:S:1:pos:R:3 pbc="T T T"
Ti 5.7924 2.1205 3.4681
Ti 7.7589 2.1205 5.3673
Ti 4.3153 0.8512 5.4005
Ti 4.6454 -0.8512 2.4554
Ti 9.2360 0.8512 3.4349
Ti 9.5660 -0.8512 0.4898
Ti 6.1225 -2.1205 0.5230
Ti 8.0889 -2.1205 2.4222
Al 3.3053 1.3191 2.9452
Al 3.6354 -1.3191 0.0000
Sn 7.1057 0.5203 1.4726
Sn 6.7757 -0.5203 4.4177
```

Output
The density is 4.955 g cm⁻³. Its total magnetization is 0.85 μB/cell. The value obtained for the energy of formation is 65 meV per atom. As for the polymorph energy (0 for the lowest one): 352 meV per atom. The value obtained for the density of states at the Fermi level is 7.22 states/eV/f.u. The value obtained for the total DFT energy (no corrections) is -6.49 eV per atom. As for the calculated volume: 18.8 Å³/atom.